Arrangement A

Below is an optimized crystal structure of LaYPt3, with properties calculated at the PBE level.

Structure (POSCAR):
```
LaYPt3
1.0
5.1373 0.0000 0.0000
0.0000 5.1373 0.0000
0.0000 0.0000 5.1373
La Y Pt
1 1 3
direct
0.0000 0.0000 0.0000
0.5000 0.5000 0.5000
0.0000 0.5000 0.5000
0.5000 0.0000 0.5000
0.5000 0.5000 0.0000
```

## Properties
Total magnetic moment (Bohr magnetons per cell): 0.00
Density of states at the Fermi level (states/eV per atom): 0.26
Space group: Pm-3m

Arrangement B

Below is an optimized crystal structure of LaYPt3, with properties calculated at the PBE level.

Structure (POSCAR):
```
LaYPt3
1.0
5.2251 0.0000 0.0000
0.0000 5.2251 0.0000
0.0000 0.0000 5.2251
La Y Pt
1 1 3
direct
0.0000 0.0000 0.0000
0.5000 0.5000 0.5000
0.0000 0.0000 0.5000
0.0000 0.5000 0.0000
0.5000 0.0000 0.0000
```

## Properties
Total magnetic moment (Bohr magnetons per cell): 0.00
Density of states at the Fermi level (states/eV per atom): 0.43
Space group: Pm-3m

Winner for stability: arrangement A

Arrangement A

Below is an optimized crystal structure of LaY2Pt2, with properties calculated at the PBE level.

Structure (POSCAR):
```
LaY2Pt2
1.0
7.8836 0.0000 0.0000
0.0000 7.8836 0.0000
0.0000 0.0000 4.0120
La Y Pt
2 4 4
direct
0.0000 0.0000 0.0000
0.5000 0.5000 0.0000
0.1574 0.3426 0.5000
0.3426 0.8426 0.5000
0.6574 0.1574 0.5000
0.8426 0.6574 0.5000
0.1364 0.6364 0.0000
0.3636 0.1364 0.0000
0.6364 0.8636 0.0000
0.8636 0.3636 0.0000
```

## Properties
Total magnetic moment (Bohr magnetons per cell): 0.00
Density of states at the Fermi level (states/eV per atom): 1.06
Space group: P4/mbm

Arrangement B

Below is an optimized crystal structure of LaY2Pt2, with properties calculated at the PBE level.

Structure (POSCAR):
```
LaY2Pt2
1.0
-2.6195 2.6195 5.1997
2.6195 -2.6195 5.1997
2.6195 2.6195 -5.1997
La Y Pt
1 2 2
direct
0.0000 0.0000 0.0000
0.3369 0.3369 0.0000
0.6631 0.6631 0.0000
0.2500 0.7500 0.5000
0.7500 0.2500 0.5000
```

## Properties
Total magnetic moment (Bohr magnetons per cell): 0.00
Density of states at the Fermi level (states/eV per atom): 1.12
Space group: I4/mmm

Winner for stability: arrangement A

Arrangement A

Below is an optimized crystal structure of La2YPt2, with properties calculated at the PBE level.

Structure (POSCAR):
```
La2YPt2
1.0
8.5235 0.0000 0.0000
0.0000 8.5235 0.0000
0.0000 0.0000 3.4798
La Y Pt
4 2 4
direct
0.1376 0.3624 0.0000
0.3624 0.8624 0.0000
0.6376 0.1376 0.0000
0.8624 0.6376 0.0000
0.0000 0.0000 0.0000
0.5000 0.5000 0.0000
0.1705 0.6705 0.5000
0.3295 0.1705 0.5000
0.6705 0.8295 0.5000
0.8295 0.3295 0.5000
```

## Properties
Total magnetic moment (Bohr magnetons per cell): 0.00
Density of states at the Fermi level (states/eV per atom): 1.09
Space group: P4/mbm

Arrangement B

Below is an optimized crystal structure of La2YPt2, with properties calculated at the PBE level.

Structure (POSCAR):
```
La2YPt2
1.0
7.9747 0.0000 0.0000
0.0000 7.9747 0.0000
0.0000 0.0000 4.1358
La Y Pt
4 2 4
direct
0.1633 0.3367 0.0000
0.3367 0.8367 0.0000
0.6633 0.1633 0.0000
0.8367 0.6633 0.0000
0.0000 0.0000 0.5000
0.5000 0.5000 0.5000
0.1399 0.6399 0.5000
0.3601 0.1399 0.5000
0.6399 0.8601 0.5000
0.8601 0.3601 0.5000
```

## Properties
Total magnetic moment (Bohr magnetons per cell): 0.00
Density of states at the Fermi level (states/eV per atom): 1.05
Space group: P4/mbm

Winner for stability: arrangement B